Entry 1:
The following is a PBE-GGA calculation of Sr2GaPb after structural relaxation, from Alexandria.

a b c (Å): 5.896 3.775 11.674
angles (deg): 90.00 100.44 90.00
Positions (direct):
Sr: 0.210 0.000 0.399
Sr: 0.224 0.000 0.884
Sr: 0.776 0.000 0.116
Sr: 0.790 0.000 0.601
Ga: 0.311 0.500 0.646
Ga: 0.689 0.500 0.354
Pb: 0.298 0.500 0.156
Pb: 0.702 0.500 0.844

Summary:
As for the distance to the lowest polymorph of the same formula: 0.0441 eV/atom. The formation energy comes out at -1.80 eV per formula unit. The value obtained for the theoretical density is 5877 kg/m³. Its symmetry is No. 10.

***

Entry 2:
The following is a PBE-GGA calculation of Sr2GaPb after structural relaxation, from Alexandria.

a b c (Å): 4.625 6.573 6.573
angles (deg): 43.67 90.00 90.00
Positions (direct):
Sr: 0.000 0.000 0.000
Sr: 0.500 0.278 0.278
Ga: 0.000 0.716 0.716
Pb: 0.500 0.568 0.568

Summary:
As for the distance to the lowest polymorph of the same formula: 0.0000 eV/atom. The formation energy comes out at -1.98 eV per formula unit. The value obtained for the theoretical density is 5441 kg/m³. Its symmetry is No. 38.